This record from the Alexandria database describes a geometry-optimized LaAl2Ir structure. The functional is PBE-GGA.

a b c (Å): 5.6990 5.6990 2.9649
angles (deg): 82.37 82.37 121.36
Last column: nearest neighbours and their distance in Å.
Atoms (fractional coordinates):
Ir1 0.5000 0.0000 0.5000  2 La 2.79, 2 Ir 2.96, 4 Al 3.03
Al1 0.0000 0.0000 0.0000  4 Al 2.79-2.96, 2 La 3.03, 2 Ir 3.03
Al2 0.5000 0.5000 0.0000  4 Al 2.79-2.96, 2 Ir 3.03, 2 La 3.03
La1 0.0000 0.5000 0.5000  2 Ir 2.79, 2 La 2.96, 4 Al 3.03

Values from the calculation:
SG	C2/m
energy of formation	-0.95	kcal/mol of atoms

This record from the Alexandria database describes a geometry-optimized LaAl2Ir structure. The functional is PBE-GGA.

a b c (Å): 9.4604 9.4604 9.4604
angles (deg): 19.30 19.30 19.30
Last column: nearest neighbours and their distance in Å.
Atoms (fractional coordinates):
Ir1 0.7500 0.7500 0.7500  6 Al 2.58
Al1 0.0182 0.0182 0.0182  3 Ir 2.58
Al2 0.4818 0.4818 0.4818  3 Ir 2.58
La1 0.2500 0.2500 0.2500  6 La 3.17, 6 Al 3.37

Values from the calculation:
SG	R-3m
energy of formation	-3.72	kcal/mol of atoms

This record from the Alexandria database describes a geometry-optimized LaAlIr3 structure. The functional is PBE-GGA.

a b c (Å): 4.9664 4.9664 4.9664
angles (deg): 90.00 90.00 90.00
Last column: nearest neighbours and their distance in Å.
Atoms (fractional coordinates):
Ir1 0.0000 0.5000 0.0000  2 La 2.48
Ir2 0.0000 0.0000 0.5000  2 La 2.48
Ir3 0.5000 0.0000 0.0000  2 La 2.48
Al1 0.5000 0.5000 0.5000  12 Ir 3.51
La1 0.0000 0.0000 0.0000  6 Ir 2.48

Values from the calculation:
energy above the lowest structure with this stoichiometry	1936	meV per atom
SG	Pm-3m
energy of formation	43.30	kcal/mol of atoms

This record from the Alexandria database describes a geometry-optimized La2Al4Ir structure. The functional is PBE-GGA.

a b c (Å): 4.6862 4.6862 8.6301
angles (deg): 74.25 74.25 90.00
Last column: nearest neighbours and their distance in Å.
Atoms (fractional coordinates):
Ir1 0.0000 0.0000 0.0000  6 Al 2.34-2.49
Al1 0.1561 0.1561 0.6879  1 Ir 2.49
Al2 0.8439 0.8439 0.3121  1 Ir 2.49
Al3 0.0000 0.5000 0.0000  2 Ir 2.34
Al4 0.5000 0.0000 0.0000  2 Ir 2.34
La1 0.3511 0.3511 0.2978  9 Al 3.11-3.33
La2 0.6489 0.6489 0.7022  9 Al 3.11-3.33

Values from the calculation:
SG	I4/mmm
energy of formation	-9.05	kcal/mol of atoms

This record from the Alexandria database describes a geometry-optimized LaAl2Ir structure. The functional is PBE-GGA.

a b c (Å): 4.3950 4.3950 5.8430
angles (deg): 67.94 67.94 60.04
Last column: nearest neighbours and their distance in Å.
Atoms (fractional coordinates):
Ir1 0.5697 0.5697 0.2910  6 Al 2.55-2.66
Al1 0.9530 0.9530 0.1410  3 Ir 2.66, 3 Al 2.73
Al2 0.2230 0.2230 0.3311  3 Ir 2.55, 3 Al 2.73
La1 0.7543 0.7543 0.7369  1 Ir 2.92, 1 Al 3.14

Values from the calculation:
SG	R3m
energy of formation	-16.63	kcal/mol of atoms

This record from the Alexandria database describes a geometry-optimized LaAlIr3 structure. The functional is PBE-GGA.

a b c (Å): 4.6002 4.6002 4.6002
angles (deg): 90.00 90.00 90.00
Last column: nearest neighbours and their distance in Å.
Atoms (fractional coordinates):
Ir1 0.0000 0.5000 0.0000  2 Al 2.30
Ir2 0.0000 0.0000 0.5000  2 Al 2.30
Ir3 0.5000 0.0000 0.0000  2 Al 2.30
Al1 0.0000 0.0000 0.0000  6 Ir 2.30
La1 0.5000 0.5000 0.5000  12 Ir 3.25

Values from the calculation:
energy above the lowest structure with this stoichiometry	0	meV per atom
SG	Pm-3m
energy of formation	-1.35	kcal/mol of atoms

This record from the Alexandria database describes a geometry-optimized La2AlIr structure. The functional is PBE-GGA.

a b c (Å): 5.7639 5.7639 5.7639
angles (deg): 134.78 134.78 65.87
Last column: nearest neighbours and their distance in Å.
Atoms (fractional coordinates):
Ir1 0.7500 0.2500 0.5000  8 La 3.13-3.28, 4 Al 3.28
Al1 0.5000 0.5000 0.0000  8 La 3.13-3.28, 4 Ir 3.28
La1 0.0000 0.0000 0.0000  4 Al 3.13, 4 Ir 3.28, 4 La 3.28
La2 0.2500 0.7500 0.5000  4 Ir 3.13, 4 Al 3.28, 4 La 3.28

Values from the calculation:
SG	I-4m2
energy of formation	-6.93	kcal/mol of atoms

This record from the Alexandria database describes a geometry-optimized LiLaAlIr structure. The functional is PBE-GGA.

a b c (Å): 4.7745 4.7745 4.7745
angles (deg): 60.00 60.00 60.00
Last column: nearest neighbours and their distance in Å.
Atoms (fractional coordinates):
Ir1 0.2500 0.2500 0.2500  4 La 2.92, 4 Al 2.92
Li1 0.7500 0.7500 0.7500  4 La 2.92, 4 Al 2.92
Al1 0.5000 0.5000 0.5000  4 Ir 2.92, 4 Li 2.92
La1 0.0000 0.0000 0.0000  4 Li 2.92, 4 Ir 2.92

Values from the calculation:
SG	F-43m
energy of formation	-10.05	kcal/mol of atoms

This record from the Alexandria database describes a geometry-optimized LaMg2AlIr structure. The functional is PBE-GGA.

a b c (Å): 4.9807 4.9807 4.7756
angles (deg): 90.00 90.00 90.00
Last column: nearest neighbours and their distance in Å.
Atoms (fractional coordinates):
Mg1 0.0000 0.5000 0.0000  2 Ir 2.49
Mg2 0.5000 0.0000 0.0000  2 Ir 2.49
Ir1 0.0000 0.0000 0.0000  2 Al 2.39, 4 Mg 2.49
Al1 0.0000 0.0000 0.5000  2 Ir 2.39
La1 0.5000 0.5000 0.5000  8 Mg 3.45, 4 Al 3.52

Values from the calculation:
SG	P4/mmm
energy of formation	-8.52	kcal/mol of atoms

This record from the Alexandria database describes a geometry-optimized La2MgAl12Ir3 structure. The functional is PBE-GGA.

a b c (Å): 7.9269 7.9269 7.9269
angles (deg): 69.31 69.31 69.31
Last column: nearest neighbours and their distance in Å.
Atoms (fractional coordinates):
La1 0.5901 0.5901 0.5901  6 Al 3.15-3.33, 1 La 3.23
La2 0.4099 0.4099 0.4099  6 Al 3.15-3.33, 1 La 3.23
Mg1 0.0000 0.0000 0.0000  6 Al 2.79
Al1 0.2664 0.2664 0.8729  2 Ir 2.44
Al2 0.8574 0.8574 0.3815  1 Ir 2.42
Al3 0.3815 0.8574 0.8574  1 Ir 2.42
Al4 0.8729 0.2664 0.2664  2 Ir 2.44
Al5 0.8574 0.3815 0.8574  1 Ir 2.42
Al6 0.2664 0.8729 0.2664  2 Ir 2.44
Al7 0.7336 0.7336 0.1271  2 Ir 2.44
Al8 0.1426 0.1426 0.6185  1 Ir 2.42
Al9 0.6185 0.1426 0.1426  1 Ir 2.42
Al10 0.1271 0.7336 0.7336  2 Ir 2.44
Al11 0.1426 0.6185 0.1426  1 Ir 2.42
Al12 0.7336 0.1271 0.7336  2 Ir 2.44
Ir1 0.5000 0.0000 0.0000  6 Al 2.42-2.44
Ir2 0.0000 0.5000 0.0000  6 Al 2.42-2.44
Ir3 0.0000 0.0000 0.5000  6 Al 2.42-2.44

Values from the calculation:
SG	R-3m
energy of formation	-0.74	kcal/mol of atoms

This record from the Alexandria database describes a geometry-optimized La2MgAl2Ir5 structure. The functional is PBE-GGA.

a b c (Å): 3.5266 10.1749 10.1749
angles (deg): 90.00 90.00 90.00
Last column: nearest neighbours and their distance in Å.
Atoms (fractional coordinates):
La1 0.0000 0.6775 0.1775  3 Al 2.89-3.10, 10 Ir 3.10-3.23
La2 0.0000 0.3225 0.8225  3 Al 2.89-3.10, 10 Ir 3.10-3.23
La3 0.0000 0.1775 0.3225  3 Al 2.89-3.10, 10 Ir 3.10-3.23
La4 0.0000 0.8225 0.6775  3 Al 2.89-3.10, 10 Ir 3.10-3.23
Mg1 0.0000 0.0000 0.0000  8 Ir 2.86
Mg2 0.0000 0.5000 0.5000  8 Ir 2.86
Al1 0.0000 0.1216 0.6216  6 Ir 2.48-2.52
Al2 0.0000 0.8784 0.3784  6 Ir 2.48-2.52
Al3 0.0000 0.6216 0.8784  6 Ir 2.48-2.52
Al4 0.0000 0.3784 0.1216  6 Ir 2.48-2.52
Ir1 0.5000 0.2116 0.0638  2 Al 2.52
Ir2 0.5000 0.7884 0.9362  2 Al 2.52
Ir3 0.5000 0.0638 0.7884  2 Al 2.52
Ir4 0.5000 0.7116 0.4362  2 Al 2.52
Ir5 0.5000 0.9362 0.2116  2 Al 2.52
Ir6 0.5000 0.2884 0.5638  2 Al 2.52
Ir7 0.5000 0.5638 0.7116  2 Al 2.52
Ir8 0.5000 0.4362 0.2884  2 Al 2.52
Ir9 0.5000 0.5000 0.0000  4 Al 2.48
Ir10 0.5000 0.0000 0.5000  4 Al 2.48

Values from the calculation:
SG	P4/mbm
energy of formation	-13.66	kcal/mol of atoms

This record from the Alexandria database describes a geometry-optimized LaMgAlIr2 structure. The functional is PBE-GGA.

a b c (Å): 4.6348 5.3253 4.6348
angles (deg): 90.00 90.00 90.00
Last column: nearest neighbours and their distance in Å.
Atoms (fractional coordinates):
Mg1 0.5000 0.5000 0.5000  4 La 3.28, 8 Ir 3.53
Ir1 0.0000 0.0000 0.5000  2 Al 2.32
Ir2 0.5000 0.0000 0.0000  2 Al 2.32
Al1 0.0000 0.0000 0.0000  4 Ir 2.32
La1 0.0000 0.5000 0.0000  2 Al 2.66

Values from the calculation:
SG	P4/mmm
energy of formation	10.82	kcal/mol of atoms

This record from the Alexandria database describes a geometry-optimized La2MgAlIr structure. The functional is PBE-GGA.

a b c (Å): 5.6057 5.6057 4.8539
angles (deg): 90.00 90.00 90.00
Last column: nearest neighbours and their distance in Å.
Atoms (fractional coordinates):
Mg1 0.5000 0.5000 0.5000  8 La 3.71, 4 Al 3.96
Ir1 0.0000 0.0000 0.0000  2 Al 2.43
Al1 0.0000 0.0000 0.5000  2 Ir 2.43
La1 0.0000 0.5000 0.0000  2 Ir 2.80
La2 0.5000 0.0000 0.0000  2 Ir 2.80

Values from the calculation:
SG	P4/mmm
energy of formation	-8.81	kcal/mol of atoms

This record from the Alexandria database describes a geometry-optimized LaAlIrN structure. The functional is PBE-GGA.

a b c (Å): 4.0605 4.0605 8.5613
angles (deg): 90.00 90.00 90.00
Last column: nearest neighbours and their distance in Å.
Atoms (fractional coordinates):
La1 0.0000 0.5000 0.8478  1 N 2.35
La2 0.5000 0.0000 0.1522  1 N 2.35
Al1 0.0000 0.5000 0.3405  1 N 1.87
Al2 0.5000 0.0000 0.6595  1 N 1.87
Ir1 0.0000 0.0000 0.5000  4 Al 2.45
Ir2 0.5000 0.5000 0.5000  4 Al 2.45
N1 0.5000 0.0000 0.8780  1 Al 1.87
N2 0.0000 0.5000 0.1220  1 Al 1.87

Values from the calculation:
formation energy (no corrections)	-100	kJ per mole of atoms
SG	P4/nmm

This record from the Alexandria database describes a geometry-optimized La2Al3Ni12Ir structure. The functional is PBE-GGA.

a b c (Å): 9.3785 9.3785 9.3785
angles (deg): 37.67 37.67 37.67
Last column: nearest neighbours and their distance in Å.
Atoms (fractional coordinates):
La1 0.6536 0.6536 0.6536  6 Ni 3.03-3.09
La2 0.3464 0.3464 0.3464  6 Ni 3.03-3.09
Al1 0.5000 0.0000 0.0000  6 Ni 2.32-2.45
Al2 0.0000 0.5000 0.0000  6 Ni 2.32-2.45
Al3 0.0000 0.0000 0.5000  6 Ni 2.32-2.45
Ni1 0.4162 0.4162 0.8105  2 Al 2.32, 4 Ni 2.39
Ni2 0.9329 0.9329 0.3544  4 Ni 2.39-2.55, 1 Ir 2.42, 1 Al 2.45
Ni3 0.3544 0.9329 0.9329  4 Ni 2.39-2.55, 1 Ir 2.42, 1 Al 2.45
Ni4 0.8105 0.4162 0.4162  2 Al 2.32, 4 Ni 2.39
Ni5 0.9329 0.3544 0.9329  4 Ni 2.39-2.55, 1 Ir 2.42, 1 Al 2.45
Ni6 0.4162 0.8105 0.4162  2 Al 2.32, 4 Ni 2.39
Ni7 0.5838 0.5838 0.1895  2 Al 2.32, 4 Ni 2.39
Ni8 0.0671 0.0671 0.6456  4 Ni 2.39-2.55, 1 Ir 2.42, 1 Al 2.45
Ni9 0.6456 0.0671 0.0671  4 Ni 2.39-2.55, 1 Ir 2.42, 1 Al 2.45
Ni10 0.1895 0.5838 0.5838  2 Al 2.32, 4 Ni 2.39
Ni11 0.0671 0.6456 0.0671  4 Ni 2.39-2.55, 1 Ir 2.42, 1 Al 2.45
Ni12 0.5838 0.1895 0.5838  2 Al 2.32, 4 Ni 2.39
Ir1 0.0000 0.0000 0.0000  6 Ni 2.42

Values from the calculation:
SG	R-3m
energy of formation	-0.97	kcal/mol of atoms

This record from the Alexandria database describes a geometry-optimized La2Al4NiIr3 structure. The functional is PBE-GGA.

a b c (Å): 4.2456 4.2456 10.4601
angles (deg): 90.00 90.00 90.00
Last column: nearest neighbours and their distance in Å.
Atoms (fractional coordinates):
La1 0.5000 0.0000 0.2564  6 Ir 3.26-3.32, 8 Al 3.28-3.42, 2 Ni 3.32
La2 0.0000 0.5000 0.7436  6 Ir 3.26-3.32, 8 Al 3.28-3.42, 2 Ni 3.32
Al1 0.5000 0.5000 0.0000  4 Ir 2.56
Al2 0.0000 0.0000 0.0000  4 Ir 2.56
Al3 0.5000 0.0000 0.6182  2 Ni 2.46, 3 Ir 2.46-2.57
Al4 0.0000 0.5000 0.3818  3 Ir 2.46-2.57, 2 Ni 2.46
Ni1 0.5000 0.5000 0.5000  4 Al 2.46
Ir1 0.0000 0.0000 0.5000  4 Al 2.46
Ir2 0.5000 0.0000 0.8640  5 Al 2.56-2.57
Ir3 0.0000 0.5000 0.1360  5 Al 2.56-2.57

Values from the calculation:
SG	P-4m2
energy of formation	-18.57	kcal/mol of atoms

This record from the Alexandria database describes a geometry-optimized LaAlIrO6 structure. The functional is PBE-GGA.

a b c (Å): 5.1131 5.1131 10.4426
angles (deg): 90.00 90.00 120.00
Last column: nearest neighbours and their distance in Å.
Atoms (fractional coordinates):
La1 0.0000 0.0000 0.0000  6 O 2.44
La2 0.0000 0.0000 0.5000  6 O 2.44
Al1 0.6667 0.3333 0.2500  6 O 1.92
Al2 0.3333 0.6667 0.7500  6 O 1.92
Ir1 0.3333 0.6667 0.2500  6 O 1.95
Ir2 0.6667 0.3333 0.7500  6 O 1.95
O1 0.6313 0.6264 0.1476  1 Al 1.92, 1 Ir 1.95
O2 0.9951 0.3687 0.1476  1 Al 1.92, 1 Ir 1.95
O3 0.3687 0.9951 0.6476  1 Al 1.92, 1 Ir 1.95
O4 0.0049 0.6313 0.8524  1 Al 1.92, 1 Ir 1.95
O5 0.3736 0.3687 0.3524  1 Al 1.92, 1 Ir 1.95
O6 0.9951 0.6264 0.3524  1 Al 1.92, 1 Ir 1.95
O7 0.6264 0.9951 0.8524  1 Al 1.92, 1 Ir 1.95
O8 0.6313 0.0049 0.3524  1 Al 1.92, 1 Ir 1.95
O9 0.0049 0.3736 0.6476  1 Al 1.92, 1 Ir 1.95
O10 0.3736 0.0049 0.1476  1 Al 1.92, 1 Ir 1.95
O11 0.6264 0.6313 0.6476  1 Al 1.92, 1 Ir 1.95
O12 0.3687 0.3736 0.8524  1 Al 1.92, 1 Ir 1.95

Values from the calculation:
formation energy (no corrections)	-202	kJ per mole of atoms
SG	P-31c

This record from the Alexandria database describes a geometry-optimized La2AlIrO structure. The functional is PBE-GGA.

a b c (Å): 5.6759 4.3673 5.6759
angles (deg): 90.00 90.00 90.00
Last column: nearest neighbours and their distance in Å.
Atoms (fractional coordinates):
Ir1 0.0000 0.5000 0.0000  2 Al 2.18
Al1 0.0000 0.0000 0.0000  2 Ir 2.18
O1 0.5000 0.5000 0.5000  8 La 3.58
La1 0.0000 0.0000 0.5000  2 Al 2.84
La2 0.5000 0.0000 0.0000  2 Al 2.84

Values from the calculation:
formation energy (no corrections)	8	kJ per mole of atoms
SG	P4/mmm

This record from the Alexandria database describes a geometry-optimized LaAlIr2O structure. The functional is PBE-GGA.

a b c (Å): 4.8579 3.5955 4.8579
angles (deg): 90.00 90.00 90.00
Last column: nearest neighbours and their distance in Å.
Atoms (fractional coordinates):
Ir1 0.0000 0.0000 0.5000  2 O 2.43
Ir2 0.5000 0.0000 0.0000  2 O 2.43
Al1 0.0000 0.5000 0.0000  2 O 1.80
O1 0.0000 0.0000 0.0000  2 Al 1.80
La1 0.5000 0.5000 0.5000  8 Ir 3.02

Values from the calculation:
energy above the lowest structure with this stoichiometry	0	meV per atom
formation energy (no corrections)	-37	kJ per mole of atoms
SG	P4/mmm

This record from the Alexandria database describes a geometry-optimized LaAlIr2O structure. The functional is PBE-GGA.

a b c (Å): 4.3740 4.6083 4.3740
angles (deg): 90.00 90.00 90.00
Last column: nearest neighbours and their distance in Å.
Atoms (fractional coordinates):
Ir1 0.0000 0.0000 0.5000  2 O 2.19
Ir2 0.5000 0.0000 0.0000  2 O 2.19
Al1 0.5000 0.5000 0.5000  4 La 3.09, 8 Ir 3.18
O1 0.0000 0.0000 0.0000  4 Ir 2.19, 2 La 2.30
La1 0.0000 0.5000 0.0000  2 O 2.30

Values from the calculation:
energy above the lowest structure with this stoichiometry	215	meV per atom
formation energy (no corrections)	-16	kJ per mole of atoms
SG	P4/mmm